(1)
Nb5Pd, optimized geometry, DFT GGA-PBE; density of states at the Fermi level = 5.01 states/eV/f.u.; formation energy from the elements = -113 meV per atom; uncorrected energy = -9.3699 eV per atom; symmetry = Cmmm, No. 65; spin magnetization = 0.00 μB per cell
1.0
2.334 -6.811 0.000
2.334 6.811 0.000
0.000 0.000 3.346
Nb Pd
5 1
Direct
0.000 0.000 0.000 Nb
0.163 0.837 0.500 Nb
0.332 0.668 0.000 Nb
0.668 0.332 0.000 Nb
0.837 0.163 0.500 Nb
0.500 0.500 0.500 Pd



(2)
PrCdH8Rh2, optimized geometry, DFT GGA-PBE; density of states at the Fermi level = 2.77 states/eV/f.u.; uncorrected energy = -4.0735 eV per atom; symmetry = R-3, No. 148; spin magnetization = 0.00 μB per cell
1.0
2.458 1.419 5.622
-2.458 1.419 5.622
0.000 -2.838 5.622
Pr Cd H Rh
1 1 8 2
Direct
0.000 0.000 0.000 Pr
0.500 0.500 0.500 Cd
0.074 0.399 0.878 H
0.122 0.926 0.601 H
0.304 0.304 0.304 H
0.399 0.878 0.074 H
0.601 0.122 0.926 H
0.696 0.696 0.696 H
0.878 0.074 0.399 H
0.926 0.601 0.122 H
0.203 0.203 0.203 Rh
0.797 0.797 0.797 Rh



(3)
OsBr2Cl, optimized geometry, DFT GGA-PBE; formation energy without anion corrections = 0.88 eV/atom; density of states at the Fermi level = 5.26 states/eV/f.u.; uncorrected energy = -3.2226 eV per atom; symmetry = Pmmm, No. 47; spin magnetization = 0.00 μB per cell
1.0
3.181 0.000 0.000
0.000 3.191 0.000
0.000 0.000 8.166
Os Br Cl
1 2 1
Direct
0.000 0.000 0.000 Os
0.500 0.500 0.192 Br
0.500 0.500 0.808 Br
0.000 0.000 0.500 Cl



(4)
Hf2ScAg, optimized geometry, DFT GGA-PBE; density of states at the Fermi level = 3.33 states/eV/f.u.; formation energy from the elements = -103 meV per atom; uncorrected energy = -7.3754 eV per atom; symmetry = Pmma, No. 51; spin magnetization = 0.00 μB per cell
1.0
5.022 0.000 0.000
0.000 3.214 0.000
0.000 0.000 10.602
Hf Sc Ag
4 2 2
Direct
0.250 0.000 0.088 Hf
0.250 0.500 0.833 Hf
0.750 0.000 0.912 Hf
0.750 0.500 0.167 Hf
0.250 0.500 0.355 Sc
0.750 0.500 0.645 Sc
0.250 0.000 0.594 Ag
0.750 0.000 0.406 Ag



(5)
ThAlZnGe2, optimized geometry, DFT GGA-PBE; density of states at the Fermi level = 2.32 states/eV/f.u.; formation energy from the elements = -320 meV per atom; uncorrected energy = -4.6546 eV per atom; symmetry = C2/m, No. 12; spin magnetization = 0.00 μB per cell
1.0
5.705 -2.149 0.000
5.705 2.149 0.000
-1.249 0.000 8.579
Th Al Zn Ge
2 2 2 4
Direct
0.154 0.154 0.169 Th
0.846 0.846 0.831 Th
0.443 0.443 0.118 Al
0.557 0.557 0.882 Al
0.180 0.180 0.537 Zn
0.820 0.820 0.463 Zn
0.150 0.150 0.814 Ge
0.423 0.423 0.594 Ge
0.577 0.577 0.406 Ge
0.850 0.850 0.186 Ge



(6)
MnPW3, optimized geometry, DFT GGA-PBE; density of states at the Fermi level = 5.34 states/eV/f.u.; formation energy from the elements = 1596 meV per atom; uncorrected energy = -9.0918 eV per atom; symmetry = Pm-3m, No. 221; spin magnetization = 0.00 μB per cell
1.0
4.475 0.000 0.000
0.000 4.475 0.000
0.000 0.000 4.475
Mn P W
1 1 3
Direct
0.000 0.000 0.000 Mn
0.500 0.500 0.500 P
0.000 0.000 0.500 W
0.000 0.500 0.000 W
0.500 0.000 0.000 W



(7)
Pm3Sn2N, optimized geometry, DFT GGA-PBE; formation energy without anion corrections = -0.84 eV/atom; density of states at the Fermi level = 0.90 states/eV/f.u.; uncorrected energy = -5.9420 eV per atom; symmetry = C2/c, No. 15; spin magnetization = 0.00 μB per cell
1.0
6.179 -3.321 0.000
6.179 3.321 0.000
-1.977 0.000 8.149
Pm Sn N
6 4 2
Direct
0.123 0.877 0.750 Pm
0.268 0.467 0.352 Pm
0.467 0.268 0.852 Pm
0.533 0.732 0.148 Pm
0.732 0.533 0.648 Pm
0.877 0.123 0.250 Pm
0.048 0.281 0.023 Sn
0.281 0.048 0.523 Sn
0.719 0.952 0.477 Sn
0.952 0.719 0.977 Sn
0.456 0.544 0.750 N
0.544 0.456 0.250 N



(8)
K2HgBi, optimized geometry, DFT GGA-PBE; density of states at the Fermi level = 1.68 states/eV/f.u.; formation energy from the elements = -23 meV per atom; uncorrected energy = -1.6174 eV per atom; symmetry = I-42d, No. 122; spin magnetization = 0.00 μB per cell
1.0
-2.613 2.613 11.648
2.613 -2.613 11.648
2.613 2.613 -11.648
K Hg Bi
4 2 2
Direct
0.115 0.625 0.990 K
0.375 0.365 0.490 K
0.635 0.125 0.010 K
0.875 0.885 0.510 K
0.000 0.000 0.000 Hg
0.750 0.250 0.500 Hg
0.250 0.750 0.500 Bi
0.500 0.500 0.000 Bi



(9)
Sb2Te, optimized geometry, DFT GGA-PBE; formation energy without anion corrections = 0.35 eV/atom; density of states at the Fermi level = 2.21 states/eV/f.u.; uncorrected energy = -3.4505 eV per atom; symmetry = P6_3/mmc, No. 194; spin magnetization = 0.00 μB per cell
1.0
6.188 0.000 0.000
-3.094 5.359 0.000
0.000 0.000 11.226
Sb Te
8 4
Direct
0.000 0.000 0.000 Sb
0.000 0.000 0.500 Sb
0.174 0.348 0.250 Sb
0.174 0.826 0.250 Sb
0.348 0.174 0.750 Sb
0.652 0.826 0.250 Sb
0.826 0.174 0.750 Sb
0.826 0.652 0.750 Sb
0.333 0.667 0.001 Te
0.333 0.667 0.499 Te
0.667 0.333 0.501 Te
0.667 0.333 0.999 Te



(10)
Mg2IrRhO6, optimized geometry, DFT GGA-PBE; formation energy without anion corrections = -1.48 eV/atom; density of states at the Fermi level = 6.01 states/eV/f.u.; uncorrected energy = -6.3950 eV per atom; symmetry = R3, No. 146; spin magnetization = 1.89 μB per cell
1.0
2.587 1.494 4.632
-2.587 1.494 4.632
0.000 -2.987 4.632
Mg Ir Rh O
2 1 1 6
Direct
0.000 0.000 0.000 Mg
0.499 0.499 0.499 Mg
0.700 0.700 0.700 Ir
0.201 0.201 0.201 Rh
0.090 0.427 0.805 O
0.311 0.918 0.598 O
0.427 0.805 0.090 O
0.598 0.311 0.918 O
0.805 0.090 0.427 O
0.918 0.598 0.311 O



(11)
ZnAgW, optimized geometry, DFT GGA-PBE; density of states at the Fermi level = 2.63 states/eV/f.u.; formation energy from the elements = 1182 meV per atom; uncorrected energy = -4.5108 eV per atom; symmetry = F-43m, No. 216; spin magnetization = 0.97 μB per cell
1.0
0.000 2.994 2.994
2.994 0.000 2.994
2.994 2.994 0.000
Zn Ag W
1 1 1
Direct
0.000 0.000 0.000 Zn
0.250 0.250 0.250 Ag
0.750 0.750 0.750 W



(12)
TlCd2Sb2, optimized geometry, DFT GGA-PBE; formation energy without anion corrections = 0.07 eV/atom; density of states at the Fermi level = 1.95 states/eV/f.u.; uncorrected energy = -2.4230 eV per atom; symmetry = P4/mbm, No. 127; spin magnetization = 0.00 μB per cell
1.0
8.934 0.000 0.000
0.000 8.934 0.000
0.000 0.000 3.480
Tl Cd Sb
2 4 4
Direct
0.000 0.000 0.000 Tl
0.500 0.500 0.000 Tl
0.132 0.368 0.000 Cd
0.368 0.868 0.000 Cd
0.632 0.132 0.000 Cd
0.868 0.632 0.000 Cd
0.164 0.664 0.500 Sb
0.336 0.164 0.500 Sb
0.664 0.836 0.500 Sb
0.836 0.336 0.500 Sb